Here is a relaxed structure of LiTmNiSn from the Alexandria database. Energies are from PBE-GGA.

Summary:
Formation enthalpy at 0 K, eV per atom: -0.5846

Cell lengths 4.595, 4.595, 4.595 Å; angles 60.00, 60.00, 60.00 degrees
Fractional coordinates of all 4 atoms:
Li: 0.000 0.000 0.000
Tm: 0.750 0.750 0.750
Ni: 0.500 0.500 0.500
Sn: 0.250 0.250 0.250

---

Here is a relaxed structure of Ni2PbSN from the Alexandria database. Energies are from PBE-GGA.

Summary:
Formation energy (no corrections), eV/atom: 0.31

Cell lengths 3.734, 3.734, 6.393 Å; angles 90.00, 90.00, 90.00 degrees
Fractional coordinates of all 5 atoms:
Ni: 0.000 0.500 0.000
Ni: 0.500 0.000 0.000
Pb: 0.000 0.000 0.500
S: 0.500 0.500 0.500
N: 0.500 0.500 0.000

---

Here is a relaxed structure of Y4TmS2 from the Alexandria database. Energies are from PBE-GGA.

Summary:
Formation energy (no corrections), eV/atom: -1.02

Cell lengths 9.669, 9.669, 9.669 Å; angles 157.81, 145.89, 41.07 degrees
Fractional coordinates of all 7 atoms:
Y: 0.096 0.096 0.000
Y: 0.315 0.315 0.000
Y: 0.685 0.685 0.000
Y: 0.904 0.904 0.000
Tm: 0.500 0.000 0.500
S: 0.204 0.704 0.500
S: 0.796 0.296 0.500

---

Here is a relaxed structure of AgAsP2Cl from the Alexandria database. Energies are from PBE-GGA.

Summary:
Energy relative to the lowest polymorph listed for this composition, eV/f.u.: 1.32
Formation energy (no corrections), eV/atom: 1.03

Cell lengths 4.889, 4.889, 4.762 Å; angles 90.00, 90.00, 90.00 degrees
Fractional coordinates of all 5 atoms:
Ag: 0.000 0.000 0.000
As: 0.500 0.500 0.500
P: 0.000 0.500 0.000
P: 0.500 0.000 0.000
Cl: 0.000 0.000 0.500

---

Q: Which theoretical density values were calculated for the entries above? A: 8.5 6.9 5.1 4.1, in g/cm³.
Q: Which DOS at the Fermi energy values were calculated for the entries above? A: 0.015 0.718 0.961 0.600, in states/eV per atom.